A relaxed HfSbRh2 crystal, computed with PBE.

Lattice parameters (Å, degrees): 4.305 4.305 3.755 90.00 90.00 90.00
Space group P4/mmm (No. 123)
Asymmetric unit:
Hf  0.000  0.000  0.000
Sb  0.500  0.500  0.000
Rh  0.000  0.500  0.500

Properties
- Crystal system: tetragonal
- VASP energy: -7.813 eV/atom
- ΔE_f (raw): -59.7 kJ/mol of atoms